Record 1
Here is crystalline La2ScTe2S2 at its relaxed geometry from Alexandria via LeMat-Bulk. Energies are from PBE-GGA.

Summary:
- E_tot (eV per atom) = -6.14
- formation energy (no corrections) (eV/atom) = -1.76
- magnetic moment (μB/f.u.) = 0.00
- volume (Å³/cell) = 192.5
- SG = I4/mmm

```
La2ScTe2S2
1.0
-2.425 2.425 8.184
2.425 -2.425 8.184
2.425 2.425 -8.184
La Sc Te S
2 1 2 2
Direct
0.120 0.120 0.000
0.880 0.880 0.000
0.500 0.500 0.000
0.320 0.320 0.000
0.680 0.680 0.000
0.000 0.500 0.500
0.500 0.000 0.500
```

---

Record 2
Here is crystalline Sm3DyPd3 at its relaxed geometry from Alexandria via LeMat-Bulk. Energies are from PBE-GGA.

Summary:
- E_tot (eV per atom) = -5.55
- magnetic moment (μB/f.u.) = 0.00
- volume (Å³/cell) = 357.4
- ΔH_f (0 K) (eV/f.u.) = -4.53
- SG = C2/m

```
Sm3DyPd3
1.0
4.685 -5.301 0.000
4.685 5.301 0.000
-0.244 0.000 7.196
Sm Dy Pd
6 2 6
Direct
0.176 0.824 0.000
0.253 0.747 0.500
0.347 0.347 0.131
0.653 0.653 0.869
0.747 0.253 0.500
0.824 0.176 0.000
0.257 0.257 0.624
0.743 0.743 0.376
0.020 0.500 0.781
0.063 0.063 0.311
0.500 0.020 0.781
0.500 0.980 0.219
0.937 0.937 0.689
0.980 0.500 0.219
```